No. 1
The following is a DFT calculation (PBE) of crystalline Y3PbSe at its relaxed geometry.

a = 8.1084 Å, b = 4.2615 Å, c = 8.6227 Å
α = 90.00°, β = 98.89°, γ = 90.00°
Sites, in units of the cell vectors:
Y 0.0762 0.2500 0.3170
Y 0.3225 0.2500 0.9659
Y 0.3885 0.7500 0.6281
Y 0.6115 0.2500 0.3719
Y 0.6775 0.7500 0.0341
Y 0.9238 0.7500 0.6830
Pb 0.3400 0.7500 0.2393
Pb 0.6600 0.2500 0.7607
Se 0.1530 0.2500 0.6497
Se 0.8470 0.7500 0.3503

## Properties
ΔE to the lowest computed polymorph in eV/atom: 0.0000

No. 2
The following is a DFT calculation (PBE) of crystalline K7Y2P at its relaxed geometry.

a = 6.0475 Å, b = 9.3911 Å, c = 9.1100 Å
α = 90.00°, β = 99.25°, γ = 90.00°
Sites, in units of the cell vectors:
K 0.0000 0.0000 0.0000
K 0.2210 0.3020 0.2761
K 0.2961 0.5291 0.8350
K 0.3497 0.0161 0.7181
K 0.6503 0.0161 0.2819
K 0.7039 0.5291 0.1650
K 0.7790 0.3020 0.7239
Y 0.2312 0.7197 0.4229
Y 0.7688 0.7197 0.5771
P 0.5000 0.2256 0.0000

## Properties
DFT total energy in eV per atom: -2.293

No. 3
The following is a DFT calculation (PBE) of crystalline PmGd2C at its relaxed geometry.

a = 10.0810 Å, b = 10.0810 Å, c = 10.0810 Å
α = 20.41°, β = 20.41°, γ = 20.41°
Sites, in units of the cell vectors:
Pm 0.0000 0.0000 0.0000
Gd 0.1204 0.1204 0.1204
Gd 0.8796 0.8796 0.8796
C 0.5000 0.5000 0.5000

## Properties
DFT total energy in eV per atom: -10.609

No. 4
The following is a DFT calculation (PBE) of crystalline Cs6K3Rb2 at its relaxed geometry.

a = 10.5207 Å, b = 10.5207 Å, c = 12.6047 Å
α = 106.93°, β = 106.93°, γ = 105.10°
Sites, in units of the cell vectors:
Cs 0.0387 0.5394 0.2829
Cs 0.1959 0.1959 0.0198
Cs 0.4606 0.9613 0.7171
Cs 0.5394 0.0387 0.2829
Cs 0.8041 0.8041 0.9802
Cs 0.9613 0.4606 0.7171
K 0.4021 0.4021 0.7891
K 0.5000 0.5000 0.5000
K 0.5979 0.5979 0.2109
Rb 0.1016 0.1016 0.3925
Rb 0.8984 0.8984 0.6075

## Properties
DFT total energy in eV per atom: -0.886

No. 5
The following is a DFT calculation (PBE) of crystalline BaVSe2 at its relaxed geometry.

a = 5.2235 Å, b = 5.2235 Å, c = 5.2235 Å
α = 60.00°, β = 60.00°, γ = 60.00°
Sites, in units of the cell vectors:
Ba 0.0000 0.0000 0.0000
V 0.5000 0.5000 0.5000
Se 0.2500 0.2500 0.2500
Se 0.7500 0.7500 0.7500

## Properties
ΔE to the lowest computed polymorph in eV/atom: 0.4224

No. 6
The following is a DFT calculation (PBE) of crystalline PuAgSnCl6 at its relaxed geometry.

a = 6.8795 Å, b = 6.8795 Å, c = 12.8984 Å
α = 90.00°, β = 90.00°, γ = 120.00°
Sites, in units of the cell vectors:
Pu 0.3333 0.6667 0.2500
Pu 0.6667 0.3333 0.7500
Ag 0.3333 0.6667 0.7500
Ag 0.6667 0.3333 0.2500
Sn 0.0000 0.0000 0.0000
Sn 0.0000 0.0000 0.5000
Cl 0.0062 0.3455 0.1274
Cl 0.0062 0.6607 0.3726
Cl 0.3393 0.3455 0.3726
Cl 0.3393 0.9938 0.1274
Cl 0.3455 0.0062 0.6274
Cl 0.3455 0.3393 0.8726
Cl 0.6545 0.6607 0.1274
Cl 0.6545 0.9938 0.3726
Cl 0.6607 0.0062 0.8726
Cl 0.6607 0.6545 0.6274
Cl 0.9938 0.3393 0.6274
Cl 0.9938 0.6545 0.8726

## Properties
DFT total energy in eV per atom: -4.842

No. 7
The following is a DFT calculation (PBE) of crystalline CrIn3Pd at its relaxed geometry.

a = 5.1519 Å, b = 5.1519 Å, c = 5.1519 Å
α = 90.00°, β = 90.00°, γ = 90.00°
Sites, in units of the cell vectors:
Cr 0.0000 0.0000 0.0000
In 0.0000 0.5000 0.5000
In 0.5000 0.0000 0.5000
In 0.5000 0.5000 0.0000
Pd 0.5000 0.5000 0.5000

## Properties
ΔE to the lowest computed polymorph in eV/atom: 0.0000

No. 8
The following is a DFT calculation (PBE) of crystalline HgP2Ru at its relaxed geometry.

a = 3.3642 Å, b = 4.3107 Å, c = 5.5153 Å
α = 90.00°, β = 106.87°, γ = 90.00°
Sites, in units of the cell vectors:
Hg 0.0000 0.0000 0.0000
P 0.3118 0.5000 0.6369
P 0.6882 0.5000 0.3631
Ru 0.5000 0.0000 0.5000

## Properties
DFT total energy in eV per atom: -4.881

Number 1: D(E_F) 9.6 states/eV/cell, calculated volume 294.4 Å³ per cell. Number 2: D(E_F) 7.0 states/eV/cell, calculated volume 510.6 Å³ per cell. Number 3: D(E_F) 3.6 states/eV/cell, calculated volume 109.0 Å³ per cell. Number 4: D(E_F) 11.2 states/eV/cell, calculated volume 1182.5 Å³ per cell. Number 5: D(E_F) 2.5 states/eV/cell, calculated volume 100.8 Å³ per cell. Number 6: D(E_F) 23.6 states/eV/cell, calculated volume 528.7 Å³ per cell. Number 7: D(E_F) 2.7 states/eV/cell, calculated volume 136.7 Å³ per cell. Number 8: D(E_F) 2.9 states/eV/cell, calculated volume 76.5 Å³ per cell.